Model one:
# Tl2HgPt SCAN single point on PBEsol structure
data_Tl2HgPt
_chemical_formula_sum 'Tl2 Hg1 Pt1'
_symmetry_space_group_name_H-M 'P 1'
_symmetry_Int_Tables_number 1
_cell_length_a 5.095
_cell_length_b 4.944
_cell_length_c 5.095
_cell_angle_alpha 58.98
_cell_angle_beta 90.00
_cell_angle_gamma 121.02
loop_
_symmetry_equiv_pos_as_xyz
'x,y,z'
loop_
_atom_site_label
_atom_site_type_symbol
_atom_site_fract_x
_atom_site_fract_y
_atom_site_fract_z
Pt1 Pt 0.000 0.000 0.000
Tl1 Tl 0.250 0.500 0.250
Tl2 Tl 0.750 0.500 0.750
Hg1 Hg 0.500 0.000 0.500
# * crystal system: tetragonal
# * space group: No. 139
# * calculated volume: 21.97 A^3/atom

=====

Model two:
# Tl2HgPt SCAN single point on PBEsol structure
data_Tl2HgPt
_chemical_formula_sum 'Tl2 Hg1 Pt1'
_symmetry_space_group_name_H-M 'P 1'
_symmetry_Int_Tables_number 1
_cell_length_a 3.023
_cell_length_b 4.656
_cell_length_c 7.412
_cell_angle_alpha 108.31
_cell_angle_beta 101.77
_cell_angle_gamma 90.00
loop_
_symmetry_equiv_pos_as_xyz
'x,y,z'
loop_
_atom_site_label
_atom_site_type_symbol
_atom_site_fract_x
_atom_site_fract_y
_atom_site_fract_z
Tl1 Tl 0.682 0.682 0.365
Tl2 Tl 0.318 0.318 0.635
Hg1 Hg 0.500 0.000 0.000
Pt1 Pt 0.000 0.500 0.000
# * crystal system: orthorhombic
# * space group: No. 71
# * calculated volume: 24.18 A^3/atom

=====

Model three:
# Tl2HgPt SCAN single point on PBEsol structure
data_Tl2HgPt
_chemical_formula_sum 'Tl4 Hg2 Pt2'
_symmetry_space_group_name_H-M 'P 1'
_symmetry_Int_Tables_number 1
_cell_length_a 5.353
_cell_length_b 6.832
_cell_length_c 6.832
_cell_angle_alpha 81.17
_cell_angle_beta 66.93
_cell_angle_gamma 66.93
loop_
_symmetry_equiv_pos_as_xyz
'x,y,z'
loop_
_atom_site_label
_atom_site_type_symbol
_atom_site_fract_x
_atom_site_fract_y
_atom_site_fract_z
Tl1 Tl 0.216 0.909 0.409
Tl2 Tl 0.375 0.409 0.091
Tl3 Tl 0.875 0.591 0.909
Tl4 Tl 0.534 0.091 0.591
Pt1 Pt 0.500 0.000 0.000
Pt2 Pt 0.250 0.500 0.500
Hg1 Hg 0.000 0.000 0.000
Hg2 Hg 0.750 0.500 0.500
# * crystal system: tetragonal
# * space group: No. 122
# * calculated volume: 26.44 A^3/atom

=====

Model four:
# Tl2HgPt SCAN single point on PBEsol structure
data_Tl2HgPt
_chemical_formula_sum 'Tl2 Hg1 Pt1'
_symmetry_space_group_name_H-M 'P 1'
_symmetry_Int_Tables_number 1
_cell_length_a 3.690
_cell_length_b 4.073
_cell_length_c 6.583
_cell_angle_alpha 108.02
_cell_angle_beta 90.00
_cell_angle_gamma 90.00
loop_
_symmetry_equiv_pos_as_xyz
'x,y,z'
loop_
_atom_site_label
_atom_site_type_symbol
_atom_site_fract_x
_atom_site_fract_y
_atom_site_fract_z
Tl1 Tl 0.500 0.425 0.849
Tl2 Tl 0.000 0.115 0.230
Pt1 Pt 0.500 0.647 0.294
Hg1 Hg 0.000 0.818 0.636
# * crystal system: orthorhombic
# * space group: No. 38
# * calculated volume: 23.52 A^3/atom

=====

Most stable to least stable: model three, model two, model four, model one

=====

Model one:
# Re4Hg SCAN single point on PBEsol structure
data_Re4Hg
_chemical_formula_sum 'Re4 Hg1'
_symmetry_space_group_name_H-M 'P 1'
_symmetry_Int_Tables_number 1
_cell_length_a 4.002
_cell_length_b 4.002
_cell_length_c 6.266
_cell_angle_alpha 108.62
_cell_angle_beta 108.62
_cell_angle_gamma 90.00
loop_
_symmetry_equiv_pos_as_xyz
'x,y,z'
loop_
_atom_site_label
_atom_site_type_symbol
_atom_site_fract_x
_atom_site_fract_y
_atom_site_fract_z
Re1 Re 0.614 0.614 0.228
Re2 Re 0.250 0.750 0.500
Re3 Re 0.386 0.386 0.772
Re4 Re 0.750 0.250 0.500
Hg1 Hg 0.000 0.000 0.000
# * crystal system: tetragonal
# * space group: No. 139
# * calculated volume: 17.91 A^3/atom

=====

Model two:
# Re4Hg SCAN single point on PBEsol structure
data_Re4Hg
_chemical_formula_sum 'Re4 Hg1'
_symmetry_space_group_name_H-M 'P 1'
_symmetry_Int_Tables_number 1
_cell_length_a 3.987
_cell_length_b 4.814
_cell_length_c 4.814
_cell_angle_alpha 80.12
_cell_angle_beta 65.53
_cell_angle_gamma 65.53
loop_
_symmetry_equiv_pos_as_xyz
'x,y,z'
loop_
_atom_site_label
_atom_site_type_symbol
_atom_site_fract_x
_atom_site_fract_y
_atom_site_fract_z
Re1 Re 0.196 0.222 0.385
Re2 Re 0.581 0.615 0.222
Re3 Re 0.419 0.385 0.778
Re4 Re 0.804 0.778 0.615
Hg1 Hg 0.000 0.000 0.000
# * crystal system: tetragonal
# * space group: No. 87
# * calculated volume: 15.31 A^3/atom

=====

Most stable to least stable: model two, model one

=====

Model one:
# SrReHg2 SCAN single point on PBEsol structure
data_SrReHg2
_chemical_formula_sum 'Sr1 Re1 Hg2'
_symmetry_space_group_name_H-M 'P 1'
_symmetry_Int_Tables_number 1
_cell_length_a 2.977
_cell_length_b 4.688
_cell_length_c 7.215
_cell_angle_alpha 103.59
_cell_angle_beta 101.91
_cell_angle_gamma 90.00
loop_
_symmetry_equiv_pos_as_xyz
'x,y,z'
loop_
_atom_site_label
_atom_site_type_symbol
_atom_site_fract_x
_atom_site_fract_y
_atom_site_fract_z
Sr1 Sr 0.186 0.665 0.373
Hg1 Hg 0.007 0.039 0.014
Hg2 Hg 0.820 0.264 0.639
Re1 Re 0.487 0.531 0.974
# * crystal system: monoclinic
# * space group: No. 8
# * calculated volume: 23.91 A^3/atom

=====

Model two:
# SrReHg2 SCAN single point on PBEsol structure
data_SrReHg2
_chemical_formula_sum 'Sr1 Re1 Hg2'
_symmetry_space_group_name_H-M 'P 1'
_symmetry_Int_Tables_number 1
_cell_length_a 3.002
_cell_length_b 5.326
_cell_length_c 5.326
_cell_angle_alpha 106.70
_cell_angle_beta 90.00
_cell_angle_gamma 90.00
loop_
_symmetry_equiv_pos_as_xyz
'x,y,z'
loop_
_atom_site_label
_atom_site_type_symbol
_atom_site_fract_x
_atom_site_fract_y
_atom_site_fract_z
Hg1 Hg 0.000 0.000 0.500
Hg2 Hg 0.000 0.500 0.000
Sr1 Sr 0.500 0.000 0.000
Re1 Re 0.500 0.500 0.500
# * crystal system: orthorhombic
# * space group: No. 65
# * calculated volume: 20.40 A^3/atom

=====

Most stable to least stable: model one, model two

=====

Model one:
# TaReHg2 SCAN single point on PBEsol structure
data_TaReHg2
_chemical_formula_sum 'Ta1 Re1 Hg2'
_symmetry_space_group_name_H-M 'P 1'
_symmetry_Int_Tables_number 1
_cell_length_a 2.785
_cell_length_b 5.100
_cell_length_c 5.222
_cell_angle_alpha 96.56
_cell_angle_beta 90.00
_cell_angle_gamma 105.85
loop_
_symmetry_equiv_pos_as_xyz
'x,y,z'
loop_
_atom_site_label
_atom_site_type_symbol
_atom_site_fract_x
_atom_site_fract_y
_atom_site_fract_z
Hg1 Hg 0.999 0.997 0.009
Hg2 Hg 0.755 0.509 0.239
Ta1 Ta 0.247 0.494 0.725
Re1 Re 0.500 0.999 0.527
# * crystal system: monoclinic
# * space group: No. 8
# * calculated volume: 17.71 A^3/atom

=====

Model two:
# TaReHg2 SCAN single point on PBEsol structure
data_TaReHg2
_chemical_formula_sum 'Ta1 Re1 Hg2'
_symmetry_space_group_name_H-M 'P 1'
_symmetry_Int_Tables_number 1
_cell_length_a 2.891
_cell_length_b 4.172
_cell_length_c 6.007
_cell_angle_alpha 90.00
_cell_angle_beta 90.36
_cell_angle_gamma 90.00
loop_
_symmetry_equiv_pos_as_xyz
'x,y,z'
loop_
_atom_site_label
_atom_site_type_symbol
_atom_site_fract_x
_atom_site_fract_y
_atom_site_fract_z
Hg1 Hg 0.980 0.000 0.997
Hg2 Hg 0.528 0.500 0.255
Ta1 Ta 0.415 0.500 0.724
Re1 Re 0.077 0.000 0.523
# * crystal system: monoclinic
# * space group: No. 6
# * calculated volume: 18.11 A^3/atom

=====

Model three:
# TaReHg2 SCAN single point on PBEsol structure
data_TaReHg2
_chemical_formula_sum 'Ta1 Re1 Hg2'
_symmetry_space_group_name_H-M 'P 1'
_symmetry_Int_Tables_number 1
_cell_length_a 2.798
_cell_length_b 5.383
_cell_length_c 5.554
_cell_angle_alpha 115.98
_cell_angle_beta 99.34
_cell_angle_gamma 100.65
loop_
_symmetry_equiv_pos_as_xyz
'x,y,z'
loop_
_atom_site_label
_atom_site_type_symbol
_atom_site_fract_x
_atom_site_fract_y
_atom_site_fract_z
Hg1 Hg 0.000 0.000 0.500
Hg2 Hg 0.500 0.500 0.500
Re1 Re 0.500 0.000 0.000
Ta1 Ta 0.000 0.500 0.000
# * crystal system: monoclinic
# * space group: No. 12
# * calculated volume: 17.76 A^3/atom

=====

Most stable to least stable: model two, model one, model three

=====

Model one:
# ReHgTe3 SCAN single point on PBEsol structure
data_ReHgTe3
_chemical_formula_sum 'Re1 Hg1 Te3'
_symmetry_space_group_name_H-M 'P 1'
_symmetry_Int_Tables_number 1
_cell_length_a 5.223
_cell_length_b 5.223
_cell_length_c 5.223
_cell_angle_alpha 90.00
_cell_angle_beta 90.00
_cell_angle_gamma 90.00
loop_
_symmetry_equiv_pos_as_xyz
'x,y,z'
loop_
_atom_site_label
_atom_site_type_symbol
_atom_site_fract_x
_atom_site_fract_y
_atom_site_fract_z
Te1 Te 0.000 0.000 0.500
Te2 Te 0.000 0.500 0.000
Te3 Te 0.500 0.000 0.000
Re1 Re 0.000 0.000 0.000
Hg1 Hg 0.500 0.500 0.500
# * crystal system: cubic
# * space group: No. 221
# * calculated volume: 28.50 A^3/atom

=====

Model two:
# ReHgTe3 SCAN single point on PBEsol structure
data_ReHgTe3
_chemical_formula_sum 'Re1 Hg1 Te3'
_symmetry_space_group_name_H-M 'P 1'
_symmetry_Int_Tables_number 1
_cell_length_a 5.458
_cell_length_b 5.458
_cell_length_c 5.458
_cell_angle_alpha 90.00
_cell_angle_beta 90.00
_cell_angle_gamma 90.00
loop_
_symmetry_equiv_pos_as_xyz
'x,y,z'
loop_
_atom_site_label
_atom_site_type_symbol
_atom_site_fract_x
_atom_site_fract_y
_atom_site_fract_z
Te1 Te 0.000 0.500 0.000
Te2 Te 0.500 0.000 0.000
Te3 Te 0.000 0.000 0.500
Re1 Re 0.500 0.500 0.500
Hg1 Hg 0.000 0.000 0.000
# * crystal system: cubic
# * space group: No. 221
# * calculated volume: 32.52 A^3/atom

=====

Most stable to least stable: model one, model two

=====

Model one:
# TlReHg SCAN single point on PBEsol structure
data_TlReHg
_chemical_formula_sum 'Tl1 Re1 Hg1'
_symmetry_space_group_name_H-M 'P 1'
_symmetry_Int_Tables_number 1
_cell_length_a 4.558
_cell_length_b 4.558
_cell_length_c 4.558
_cell_angle_alpha 60.00
_cell_angle_beta 60.00
_cell_angle_gamma 60.00
loop_
_symmetry_equiv_pos_as_xyz
'x,y,z'
loop_
_atom_site_label
_atom_site_type_symbol
_atom_site_fract_x
_atom_site_fract_y
_atom_site_fract_z
Tl1 Tl 0.250 0.250 0.250
Re1 Re 0.500 0.500 0.500
Hg1 Hg 0.000 0.000 0.000
# * crystal system: cubic
# * space group: No. 216
# * calculated volume: 22.32 A^3/atom

=====

Model two:
# TlReHg SCAN single point on PBEsol structure
data_TlReHg
_chemical_formula_sum 'Tl1 Re1 Hg1'
_symmetry_space_group_name_H-M 'P 1'
_symmetry_Int_Tables_number 1
_cell_length_a 2.843
_cell_length_b 4.273
_cell_length_c 5.392
_cell_angle_alpha 113.34
_cell_angle_beta 105.28
_cell_angle_gamma 90.00
loop_
_symmetry_equiv_pos_as_xyz
'x,y,z'
loop_
_atom_site_label
_atom_site_type_symbol
_atom_site_fract_x
_atom_site_fract_y
_atom_site_fract_z
Hg1 Hg 0.015 0.015 0.030
Re1 Re 0.659 0.659 0.317
Tl1 Tl 0.327 0.327 0.653
# * crystal system: orthorhombic
# * space group: No. 44
# * calculated volume: 19.20 A^3/atom

=====

Model three:
# TlReHg SCAN single point on PBEsol structure
data_TlReHg
_chemical_formula_sum 'Tl1 Re1 Hg1'
_symmetry_space_group_name_H-M 'P 1'
_symmetry_Int_Tables_number 1
_cell_length_a 2.870
_cell_length_b 2.870
_cell_length_c 7.572
_cell_angle_alpha 100.92
_cell_angle_beta 100.92
_cell_angle_gamma 90.00
loop_
_symmetry_equiv_pos_as_xyz
'x,y,z'
loop_
_atom_site_label
_atom_site_type_symbol
_atom_site_fract_x
_atom_site_fract_y
_atom_site_fract_z
Re1 Re 0.662 0.662 0.323
Hg1 Hg 0.017 0.017 0.035
Tl1 Tl 0.321 0.321 0.642
# * crystal system: tetragonal
# * space group: No. 107
# * calculated volume: 20.03 A^3/atom

=====

Most stable to least stable: model three, model two, model one